No. 1
Compound: Sr3NpPa2P6
Source: Alexandria
Functional: PBE-GGA
Structure: optimized geometry

Lattice parameters (Å, degrees): 7.167 7.167 7.334 99.38 99.38 119.99
Site moments in Bohr magnetons follow the coordinates.
Positions (direct):
Sr1 0.166 0.834 0.500  0.01
Sr2 0.834 0.166 0.500  0.01
Sr3 0.500 0.500 0.500  0.01
Np1 0.000 0.000 0.000  3.67
Pa1 0.333 0.667 0.000  0.32
Pa2 0.667 0.333 0.000  0.32
P1 0.928 0.590 0.785  -0.03
P2 0.733 0.733 0.214  -0.03
P3 0.072 0.410 0.215  -0.03
P4 0.590 0.928 0.785  -0.03
P5 0.267 0.267 0.786  -0.03
P6 0.410 0.072 0.215  -0.03

Values from the calculation:
- E_form (eV/atom) = -1.148
- DOS(E_F) (states/eV/atom) = 1.004
- calculated total energy (eV/atom) = -6.93
- SG = C2/m, No. 12
- total moment (Bohr magnetons per cell) = 4.64

=====

No. 2
Compound: Sr3Np2PaP6
Source: Alexandria
Functional: PBE-GGA
Structure: optimized geometry

Lattice parameters (Å, degrees): 7.167 7.167 7.311 99.40 99.40 120.00
Site moments in Bohr magnetons follow the coordinates.
Positions (direct):
Sr1 0.167 0.833 0.500  0.00
Sr2 0.833 0.167 0.500  0.00
Sr3 0.500 0.500 0.500  0.00
Np1 0.333 0.667 0.000  3.50
Np2 0.667 0.333 0.000  3.50
Pa1 0.000 0.000 0.000  0.06
P1 0.929 0.598 0.788  -0.07
P2 0.740 0.740 0.212  -0.07
P3 0.071 0.402 0.212  -0.07
P4 0.598 0.929 0.788  -0.07
P5 0.260 0.260 0.788  -0.07
P6 0.402 0.071 0.212  -0.07

Values from the calculation:
- E_form (eV/atom) = -1.055
- DOS(E_F) (states/eV/atom) = 1.609
- calculated total energy (eV/atom) = -7.13
- SG = C2/m, No. 12
- total moment (Bohr magnetons per cell) = 7.00

=====

No. 3
Compound: Sr2NpPaP4
Source: Alexandria
Functional: PBE-GGA
Structure: optimized geometry

Lattice parameters (Å, degrees): 4.142 7.161 7.336 109.14 90.00 90.00
Site moments in Bohr magnetons follow the coordinates.
Positions (direct):
Sr1 0.500 0.000 0.500  0.01
Sr2 0.000 0.500 0.500  0.00
Np1 0.000 0.000 0.000  3.55
Pa1 0.500 0.500 0.000  0.27
P1 0.500 0.241 0.213  -0.07
P2 0.500 0.759 0.787  -0.07
P3 0.000 0.267 0.786  -0.03
P4 0.000 0.733 0.214  -0.03

Values from the calculation:
- E_form (eV/atom) = -1.104
- DOS(E_F) (states/eV/atom) = 1.144
- calculated total energy (eV/atom) = -7.03
- SG = P2/m, No. 10
- total moment (Bohr magnetons per cell) = 3.94

=====

No. 4
Compound: TbNp2PaP4
Source: Alexandria
Functional: PBE-GGA
Structure: optimized geometry

Lattice parameters (Å, degrees): 3.988 6.906 6.878 109.60 90.00 90.00
Site moments in Bohr magnetons follow the coordinates.
Positions (direct):
Tb1 0.000 0.000 0.000  0.02
Np1 0.500 0.000 0.500  3.66
Np2 0.000 0.500 0.500  3.63
Pa1 0.500 0.500 0.000  0.49
P1 0.500 0.254 0.254  -0.07
P2 0.500 0.746 0.746  -0.07
P3 0.000 0.251 0.749  -0.07
P4 0.000 0.749 0.251  -0.07

Values from the calculation:
- E_form (eV/atom) = -1.168
- DOS(E_F) (states/eV/atom) = 2.454
- calculated total energy (eV/atom) = -8.87
- SG = P2/m, No. 10
- total moment (Bohr magnetons per cell) = 8.33

=====

No. 5
Compound: ThNpPa2P4
Source: Alexandria
Functional: PBE-GGA
Structure: optimized geometry

Lattice parameters (Å, degrees): 4.021 6.950 6.955 109.57 90.00 90.00
Site moments in Bohr magnetons follow the coordinates.
Positions (direct):
Th1 0.000 0.000 0.000  0.00
Np1 0.500 0.500 0.000  3.65
Pa1 0.500 0.000 0.500  0.19
Pa2 0.000 0.500 0.500  0.01
P1 0.500 0.258 0.260  -0.02
P2 0.500 0.742 0.740  -0.02
P3 0.000 0.254 0.745  -0.04
P4 0.000 0.746 0.255  -0.04

Values from the calculation:
- E_form (eV/atom) = -1.261
- DOS(E_F) (states/eV/atom) = 1.813
- calculated total energy (eV/atom) = -8.89
- SG = P2/m, No. 10
- total moment (Bohr magnetons per cell) = 4.09

=====

No. 6
Compound: Th2NpPaP4
Source: Alexandria
Functional: PBE-GGA
Structure: optimized geometry

Lattice parameters (Å, degrees): 4.062 7.025 7.026 109.55 90.00 90.00
Site moments in Bohr magnetons follow the coordinates.
Positions (direct):
Th1 0.500 0.000 0.500  0.01
Th2 0.000 0.500 0.500  0.01
Np1 0.500 0.500 0.000  3.64
Pa1 0.000 0.000 0.000  0.08
P1 0.500 0.245 0.237  -0.02
P2 0.500 0.755 0.763  -0.02
P3 0.000 0.254 0.764  -0.04
P4 0.000 0.746 0.236  -0.04

Values from the calculation:
- E_form (eV/atom) = -1.318
- DOS(E_F) (states/eV/atom) = 1.765
- calculated total energy (eV/atom) = -8.68
- SG = P2/m, No. 10
- total moment (Bohr magnetons per cell) = 3.97

=====

No. 7
Compound: Np3U2PaP6
Source: Alexandria
Functional: PBE-GGA
Structure: optimized geometry

Lattice parameters (Å, degrees): 6.896 6.896 6.765 99.78 99.78 120.02
Site moments in Bohr magnetons follow the coordinates.
Positions (direct):
Np1 0.166 0.834 0.500  3.58
Np2 0.834 0.166 0.500  3.58
Np3 0.500 0.500 0.500  3.58
U1 0.333 0.667 0.000  1.88
U2 0.667 0.333 0.000  1.88
Pa1 0.000 0.000 0.000  0.26
P1 0.916 0.582 0.750  -0.08
P2 0.748 0.748 0.250  -0.08
P3 0.084 0.418 0.250  -0.08
P4 0.582 0.916 0.750  -0.08
P5 0.252 0.252 0.750  -0.08
P6 0.418 0.084 0.250  -0.08

Values from the calculation:
- E_form (eV/atom) = -0.980
- DOS(E_F) (states/eV/atom) = 2.602
- calculated total energy (eV/atom) = -9.59
- SG = C2/m, No. 12
- total moment (Bohr magnetons per cell) = 15.72

=====

No. 8
Compound: NpU3Pa2P6
Source: Alexandria
Functional: PBE-GGA
Structure: optimized geometry

Lattice parameters (Å, degrees): 6.801 6.801 6.901 99.48 99.48 120.01
Site moments in Bohr magnetons follow the coordinates.
Positions (direct):
Np1 0.000 0.000 0.000  3.53
U1 0.167 0.833 0.500  1.81
U2 0.833 0.167 0.500  1.81
U3 0.500 0.500 0.500  1.81
Pa1 0.333 0.667 0.000  0.03
Pa2 0.667 0.333 0.000  0.03
P1 0.916 0.583 0.748  -0.05
P2 0.752 0.752 0.253  -0.05
P3 0.084 0.417 0.252  -0.05
P4 0.583 0.916 0.748  -0.05
P5 0.248 0.248 0.747  -0.05
P6 0.417 0.084 0.252  -0.05

Values from the calculation:
- E_form (eV/atom) = -1.068
- DOS(E_F) (states/eV/atom) = 2.423
- calculated total energy (eV/atom) = -9.26
- SG = C2/m, No. 12
- total moment (Bohr magnetons per cell) = 9.65

=====

No. 9
Compound: NpUPa2P4
Source: Alexandria
Functional: PBE-GGA
Structure: optimized geometry

Lattice parameters (Å, degrees): 3.948 6.895 6.812 70.60 90.00 90.00
Site moments in Bohr magnetons follow the coordinates.
Positions (direct):
Np1 0.500 0.500 0.000  3.54
U1 0.000 0.500 0.500  1.74
Pa1 0.000 0.000 0.000  0.05
Pa2 0.500 0.000 0.500  0.03
P1 0.000 0.748 0.750  -0.05
P2 0.000 0.252 0.250  -0.05
P3 0.500 0.747 0.252  -0.04
P4 0.500 0.253 0.748  -0.04

Values from the calculation:
- E_form (eV/atom) = -1.126
- DOS(E_F) (states/eV/atom) = 2.134
- calculated total energy (eV/atom) = -9.23
- SG = P2/m, No. 10
- total moment (Bohr magnetons per cell) = 5.68

=====

No. 10
Compound: NpU4Pa3P8
Source: Alexandria
Functional: PBE-GGA
Structure: optimized geometry

Lattice parameters (Å, degrees): 7.855 7.935 7.855 119.67 120.00 90.00
Site moments in Bohr magnetons follow the coordinates.
Positions (direct):
Np1 0.000 0.500 0.000  3.52
U1 0.500 0.000 0.000  1.76
U2 0.500 0.000 0.500  1.79
U3 0.000 0.000 0.000  1.79
U4 0.000 0.000 0.500  1.79
Pa1 0.500 0.500 0.000  -0.01
Pa2 0.500 0.500 0.500  -0.01
Pa3 0.000 0.500 0.500  -0.01
P1 0.250 0.753 0.002  -0.05
P2 0.250 0.753 0.501  -0.05
P3 0.249 0.247 0.498  -0.03
P4 0.752 0.753 0.002  -0.05
P5 0.248 0.247 0.998  -0.05
P6 0.751 0.753 0.502  -0.03
P7 0.750 0.247 0.499  -0.05
P8 0.750 0.247 0.998  -0.05

Values from the calculation:
- E_form (eV/atom) = -1.089
- DOS(E_F) (states/eV/atom) = 2.270
- calculated total energy (eV/atom) = -9.21
- SG = R-3m, No. 166
- total moment (Bohr magnetons per cell) = 11.34